(1)
Compound: TbSi2AgPt5
Source: Alexandria
Functional: PBE
Structure: optimized geometry

```
TbSi2AgPt5
1.0
4.106 0.000 0.000
0.000 4.106 0.000
0.000 0.000 9.097
Pt Ag Si Tb
5 1 2 1
direct
0.500 0.000 0.737
0.500 0.000 0.263
0.000 0.500 0.737
0.500 0.500 0.500
0.000 0.500 0.263
0.000 0.000 0.000
0.500 0.500 0.873
0.500 0.500 0.127
0.000 0.000 0.500
```

Computed properties:
Space-group type: P4/mmm (123)



(2)
Compound: Tb2Si4AgPt3
Source: Alexandria
Functional: PBE
Structure: optimized geometry

```
Tb2Si4AgPt3
1.0
-3.622 -0.719 2.040
-0.085 -3.929 -1.535
5.110 -3.214 7.942
Pt Si Tb Ag
3 4 2 1
direct
0.000 0.000 0.500
0.000 0.500 0.120
0.500 0.000 0.880
0.000 0.000 0.000
0.500 0.000 0.641
0.500 0.500 0.000
0.000 0.500 0.359
0.500 0.000 0.245
0.000 0.500 0.755
0.500 0.500 0.500
```

Computed properties:
Space-group type: P-4m2 (115)



(3)
Compound: ThSi2AgPt5
Source: Alexandria
Functional: PBE
Structure: optimized geometry

```
ThSi2AgPt5
1.0
-2.551 -0.947 -3.184
2.860 -2.668 -1.499
-3.668 -6.706 4.935
Ag Pt Si Th
1 5 2 1
direct
0.000 0.000 0.000
0.000 0.500 0.258
0.500 0.000 0.258
0.000 0.500 0.742
0.500 0.500 0.500
0.500 0.000 0.742
0.500 0.500 0.875
0.500 0.500 0.125
0.000 0.000 0.500
```

Computed properties:
Space-group type: P4/mmm (123)



(4)
Compound: Tm2Si3AgPt4
Source: Alexandria
Functional: PBE
Structure: optimized geometry

```
Tm2Si3AgPt4
1.0
4.003 0.000 0.000
0.000 4.003 0.000
0.000 0.000 11.104
Pt Si Tm Ag
4 3 2 1
direct
0.500 0.500 0.000
0.500 0.000 0.663
0.000 0.000 0.000
0.000 0.500 0.337
0.000 0.000 0.500
0.500 0.000 0.870
0.000 0.500 0.130
0.500 0.000 0.248
0.000 0.500 0.752
0.500 0.500 0.500
```

Computed properties:
Space-group type: P-4m2 (115)



no.,calculated total energy (eV per atom),raw formation energy (eV per atom)
1,-6.139,-0.7465
2,-6.129,-0.9362
3,-6.438,-0.7359
4,-6.117,-0.8946